! PBE Sr8Bi5Pd, relaxed; values from VASP
! formation energy from the elements	-0.820	eV/atom
! space group	I-4, No. 82
! crystal system	tetragonal
&SYSTEM
  ibrav = 0, nat = 14, ntyp = 3
/
ATOMIC_SPECIES
Sr 87.62 Sr.upf
Bi 208.98 Bi.upf
Pd 106.42 Pd.upf
ATOMIC_POSITIONS angstrom
Sr 1.911 -5.877 0.487
Sr -4.914 2.051 6.460
Sr -4.005 -0.685 3.881
Sr -0.264 1.056 6.506
Sr -0.697 -3.869 2.518
Sr 1.798 -2.721 6.400
Sr 0.315 -0.106 2.862
Sr 4.077 -3.156 3.304
Bi 1.988 -2.247 0.814
Bi -2.779 -6.325 3.530
Bi -1.357 -2.149 5.377
Bi -2.242 2.230 3.991
Bi 1.260 4.068 6.488
Pd 2.856 -0.053 4.882
CELL_PARAMETERS angstrom
-8.398 -0.990 2.332
4.039 -7.786 0.123
3.915 5.449 5.650

=====

! PBE HgPd3Pb, relaxed; values from VASP
! formation energy from the elements	0.669	eV/atom
! space group	Pm-3m, No. 221
! E above lowest polymorph	784	meV per atom
! crystal system	cubic
&SYSTEM
  ibrav = 0, nat = 5, ntyp = 3
/
ATOMIC_SPECIES
Pb 207.20 Pb.upf
Hg 200.59 Hg.upf
Pd 106.42 Pd.upf
ATOMIC_POSITIONS angstrom
Pb 0.000 0.000 0.000
Hg 2.535 2.535 2.535
Pd 0.000 2.535 0.000
Pd 0.000 0.000 2.535
Pd 2.535 0.000 0.000
CELL_PARAMETERS angstrom
5.071 0.000 0.000
0.000 5.071 0.000
0.000 0.000 5.071

=====

! PBE TbHf3Sc7, relaxed; values from VASP
! formation energy from the elements	0.290	eV/atom
! space group	P3m1, No. 156
! crystal system	trigonal
&SYSTEM
  ibrav = 0, nat = 11, ntyp = 3
/
ATOMIC_SPECIES
Tb 158.93 Tb.upf
Hf 178.49 Hf.upf
Sc 44.96 Sc.upf
ATOMIC_POSITIONS angstrom
Tb -1.317 3.843 3.062
Hf -2.502 2.693 5.861
Hf -2.383 -0.425 6.482
Hf -0.525 1.590 8.096
Sc -0.104 4.975 0.253
Sc 0.016 1.816 0.882
Sc 1.949 0.713 3.209
Sc 0.710 -0.404 6.030
Sc -1.277 0.704 3.785
Sc 0.590 2.728 5.406
Sc 1.899 3.857 2.517
CELL_PARAMETERS angstrom
-5.579 0.852 5.358
4.002 -2.231 4.522
-0.241 6.309 -1.255

=====

! PBE SiSbTe2, relaxed; values from VASP
! space group	Immm, No. 71
! E above lowest polymorph	145	meV per atom
! crystal system	orthorhombic
! raw formation energy	0.2686	eV/atom
&SYSTEM
  ibrav = 0, nat = 4, ntyp = 3
/
ATOMIC_SPECIES
Sb 121.76 Sb.upf
Si 28.09 Si.upf
Te 127.60 Te.upf
ATOMIC_POSITIONS angstrom
Sb 0.685 -0.030 3.677
Si -0.027 2.785 2.821
Te -3.578 2.417 10.927
Te -2.278 1.539 6.958
CELL_PARAMETERS angstrom
-2.664 4.134 5.106
-1.240 -1.496 6.817
4.562 0.117 -5.425

=====

! PBE CaTmRu, relaxed; values from VASP
! formation energy from the elements	-0.155	eV/atom
! space group	I4mm, No. 107
! E above lowest polymorph	0	meV per atom
! crystal system	tetragonal
&SYSTEM
  ibrav = 0, nat = 3, ntyp = 3
/
ATOMIC_SPECIES
Ru 101.07 Ru.upf
Ca 40.08 Ca.upf
Tm 168.93 Tm.upf
ATOMIC_POSITIONS angstrom
Ru -1.031 -2.935 -1.177
Ca -0.267 -0.287 0.144
Tm -2.352 -2.522 1.267
CELL_PARAMETERS angstrom
-1.398 -0.269 -3.130
2.242 -2.486 -0.788
-4.494 -2.990 4.152

=====

! PBE Co2TeSe, relaxed; values from VASP
! space group	C2/m, No. 12
! E above lowest polymorph	518	meV per atom
! crystal system	monoclinic
! raw formation energy	0.4673	eV/atom
&SYSTEM
  ibrav = 0, nat = 4, ntyp = 3
/
ATOMIC_SPECIES
Co 58.93 Co.upf
Se 78.96 Se.upf
Te 127.60 Te.upf
ATOMIC_POSITIONS angstrom
Co 0.000 0.000 0.000
Co 1.848 2.144 0.630
Se 2.940 0.710 2.369
Te 0.268 3.012 2.369
CELL_PARAMETERS angstrom
4.520 -0.159 0.630
-0.823 4.447 0.630
1.360 1.578 4.108